DFT (PBE-GGA) results for a relaxed CrRe2Os crystal.

Cell and atoms, written as extended XYZ:
```
4
Lattice="-0.812 5.023 -3.296 -2.797 -3.746 -0.568 -2.168 1.527 0.612" Properties=species:S:1:pos:R:3 pbc="T T T"
Re -1.490 3.275 -1.342
Re 0.000 0.000 0.000
Os -1.805 0.639 -1.932
Cr -2.482 -1.110 0.022
```

Calculated values
E ... -11.3285 eV per atom
Excess energy over the best structure of this formula in the dataset ... 13 meV per atom
Formation enthalpy at 0 K ... 0.11 eV per atom
SG ... Cmmm (65)
Magnetization ... 0.00 μB/cell
Fermi-level density of states ... 3.33 states/eV per cell

---

DFT (PBE-GGA) results for a relaxed CrRe2Os crystal.

Cell and atoms, written as extended XYZ:
```
4
Lattice="-2.491 0.628 -0.915 -1.060 -0.675 2.421 0.921 7.139 2.394" Properties=species:S:1:pos:R:3 pbc="T T T"
Re 0.918 7.112 2.385
Re -1.533 1.857 1.383
Os -1.098 5.228 2.514
Cr 0.465 3.603 1.208
```

Calculated values
E ... -11.3303 eV per atom
Excess energy over the best structure of this formula in the dataset ... 11 meV per atom
Formation enthalpy at 0 K ... 0.11 eV per atom
SG ... P4mm (99)
Magnetization ... 0.00 μB/cell
Fermi-level density of states ... 2.96 states/eV per cell

---

DFT (PBE-GGA) results for a relaxed CrRe2Os crystal.

Cell and atoms, written as extended XYZ:
```
4
Lattice="2.729 0.000 0.000 0.000 4.694 -0.003 0.000 3.128 4.435" Properties=species:S:1:pos:R:3 pbc="T T T"
Os 0.000 1.564 2.217
Re 1.364 2.347 -0.002
Re 0.000 0.000 0.000
Cr 1.364 3.911 2.216
```

Calculated values
E ... -11.3217 eV per atom
Excess energy over the best structure of this formula in the dataset ... 20 meV per atom
Formation enthalpy at 0 K ... 0.12 eV per atom
SG ... P2/m (10)
Magnetization ... 0.00 μB/cell
Fermi-level density of states ... 3.88 states/eV per cell